Record 1
Here is crystalline RbHoAgF6 at its relaxed geometry from the Alexandria database. Energies are from PBE-GGA.

Computed properties:
raw formation energy = -270 kJ per mole of atoms
mass density = 4.04 g cm⁻³
final energy = -4.980 eV per atom

abc: 8.2830 8.2830 8.2830
angles: 123.96 120.10 86.56
Closest atoms and distances in Å follow each position.
Sites, in units of the cell vectors:
Rb  0.2897  0.0397  0.2500  1 F 2.86
Rb  0.7103  0.9603  0.7500  1 F 2.86
Ho  0.0000  0.5000  0.5000  6 F 2.17-2.19
Ho  0.5000  0.5000  0.0000  6 F 2.17-2.19
Ag  0.0000  0.0000  0.5000  2 F 2.05
Ag  0.0000  0.5000  0.0000  2 F 2.05
F  0.0507  0.3969  0.2286  1 Ho 2.17, 1 Ag 2.34
F  0.0507  0.8221  0.6538  1 Ho 2.17, 1 Ag 2.34
F  0.0525  0.8025  0.2500  2 Ag 2.05
F  0.3107  0.5607  0.7500  2 Ho 2.19
F  0.3317  0.1779  0.7286  1 Ho 2.17, 1 Ag 2.34
F  0.3317  0.6031  0.1538  1 Ho 2.17, 1 Ag 2.34
F  0.6683  0.3969  0.8462  1 Ho 2.17, 1 Ag 2.34
F  0.6683  0.8221  0.2714  1 Ho 2.17, 1 Ag 2.34
F  0.6893  0.4393  0.2500  2 Ho 2.19
F  0.9475  0.1975  0.7500  2 Ag 2.05
F  0.9493  0.1779  0.3462  1 Ho 2.17, 1 Ag 2.34
F  0.9493  0.6031  0.7714  1 Ho 2.17, 1 Ag 2.34



Record 2
Here is crystalline Rb3HoAg2F9 at its relaxed geometry from the Alexandria database. Energies are from PBE-GGA.

Computed properties:
raw formation energy = -250 kJ per mole of atoms
mass density = 4.74 g cm⁻³
final energy = -4.597 eV per atom

abc: 6.3980 6.3980 7.9801
angles: 90.00 90.00 120.00
Closest atoms and distances in Å follow each position.
Sites, in units of the cell vectors:
Rb  0.0000  0.0000  0.0000  12 F 3.20-3.23
Rb  0.3333  0.6667  0.7077  9 F 2.98-3.22
Rb  0.6667  0.3333  0.2923  9 F 2.98-3.22
Ho  0.0000  0.0000  0.5000  6 F 2.17
Ag  0.3333  0.6667  0.1673  6 F 2.28-2.38
Ag  0.6667  0.3333  0.8327  6 F 2.28-2.38
F  0.0000  0.5000  0.0000  2 Ag 2.28
F  0.1581  0.3162  0.3405  1 Ho 2.17, 1 Ag 2.38
F  0.1581  0.8419  0.3405  1 Ho 2.17, 1 Ag 2.38
F  0.3162  0.1581  0.6595  1 Ho 2.17, 1 Ag 2.38
F  0.5000  0.0000  0.0000  2 Ag 2.28
F  0.5000  0.5000  0.0000  2 Ag 2.28
F  0.6838  0.8419  0.3405  1 Ho 2.17, 1 Ag 2.38
F  0.8419  0.1581  0.6595  1 Ho 2.17, 1 Ag 2.38
F  0.8419  0.6838  0.6595  1 Ho 2.17, 1 Ag 2.38



Record 3
Here is crystalline Rb2HoAgF6 at its relaxed geometry from the Alexandria database. Energies are from PBE-GGA.

Computed properties:
raw formation energy = -287 kJ per mole of atoms
mass density = 4.78 g cm⁻³
final energy = -5.034 eV per atom

abc: 6.5151 6.5791 11.1287
angles: 90.00 125.72 90.00
Closest atoms and distances in Å follow each position.
Sites, in units of the cell vectors:
Rb  0.2436  0.0335  0.2496  8 F 2.86-3.20
Rb  0.2436  0.4665  0.7496  8 F 2.86-3.20
Rb  0.7564  0.5335  0.2504  8 F 2.86-3.20
Rb  0.7564  0.9665  0.7504  8 F 2.86-3.20
Ho  0.5000  0.0000  0.0000  6 F 2.18
Ho  0.5000  0.5000  0.5000  6 F 2.18
Ag  0.0000  0.0000  0.5000  6 F 2.44-2.56
Ag  0.0000  0.5000  0.0000  6 F 2.44-2.56
F  0.2002  0.1937  0.9668  1 Ho 2.18
F  0.2002  0.3063  0.4668  1 Ho 2.18
F  0.2703  0.7340  0.9609  1 Ho 2.18
F  0.2703  0.7660  0.4609  1 Ho 2.18
F  0.3334  0.0224  0.7645  1 Ho 2.18, 1 Ag 2.44
F  0.3334  0.4776  0.2645  1 Ho 2.18, 1 Ag 2.44
F  0.6666  0.5224  0.7355  1 Ho 2.18, 1 Ag 2.44
F  0.6666  0.9776  0.2355  1 Ho 2.18, 1 Ag 2.44
F  0.7297  0.2340  0.5391  1 Ho 2.18
F  0.7297  0.2660  0.0391  1 Ho 2.18
F  0.7998  0.6937  0.5332  1 Ho 2.18
F  0.7998  0.8063  0.0332  1 Ho 2.18



Record order is preserved below.
Magnetic moment: 0.000; 1.068; 0.098 μB/f.u.